Density functional theory data (PBE) for crystalline LaWSe2 at its relaxed geometry.

Its energy above the most stable polymorph in this dataset is 56.79 kJ per mole of atoms. For the formation energy (no corrections), the calculation gives -43.7 meV per atom.

Lattice parameters (Å, degrees): 4.091 4.091 11.419 90.00 90.00 90.00
Space group I-4m2 (No. 119)
Symmetry-distinct sites (fractional):
La  0.000  0.000  0.000 [2 per cell]
W  0.000  0.500  0.250 [2 per cell]
Se  0.000  0.000  0.500 [2 per cell]
Se  0.000  0.500  0.750 [2 per cell]